Below is BaCdAg2Os at its PBEsol-relaxed geometry, with properties calculated at the meta-GGA SCAN level.

Geometry as CIF:
```
data_BaCdAg2Os
_chemical_formula_sum 'Ba1 Cd1 Ag2 Os1'
_cell_length_a 5.125
_cell_length_b 5.125
_cell_length_c 5.405
_cell_angle_alpha 90.00
_cell_angle_beta 90.00
_cell_angle_gamma 90.00
_symmetry_space_group_name_H-M 'P 4/m m m'
_symmetry_Int_Tables_number 123
_symmetry_space_group_name_Hall '-P 4 2'
loop_
_atom_site_label
_atom_site_fract_x
_atom_site_fract_y
_atom_site_fract_z
Ba1 0.000 0.000 0.000
Cd1 0.500 0.500 0.000
Ag1 0.000 0.500 0.500
Os1 0.000 0.000 0.500
```

## Properties
As for the theoretical density: 7.7 g/cm3. As for the energy relative to the elements: 0.928 eV/atom.